1.
## LaPm3Pr2Se6 (GGA-PBE)

Data for crystalline LaPm3Pr2Se6 at its relaxed geometry.

Cell lengths 7.343, 7.343, 7.356 Å; angles 99.55, 99.55, 120.24 degrees
Element x y z (fractional)
La  0.000  0.000  0.000
Pm  0.168  0.832  0.500
Pm  0.832  0.168  0.500
Pm  0.500  0.500  0.500
Pr  0.332  0.668  0.000
Pr  0.668  0.332  0.000
Se  0.914  0.581  0.743
Se  0.752  0.752  0.256
Se  0.086  0.419  0.257
Se  0.581  0.914  0.743
Se  0.248  0.248  0.744
Se  0.419  0.086  0.257

## Properties
Formation energy without anion corrections: -1.871 eV per atom
Space group: No. 12
Volume: 323.0 Å³/cell
VASP energy: -72.1 eV per cell

***

2.
## RbH2O3 (GGA-PBE)

Data for crystalline RbH2O3 at its relaxed geometry.

Cell lengths 5.705, 3.248, 9.167 Å; angles 90.00, 90.00, 90.00 degrees
Element x y z (fractional)
Rb  0.751  0.500  0.500
Rb  0.249  0.000  0.000
H  0.238  0.000  0.586
H  0.238  0.000  0.414
H  0.762  0.500  0.086
H  0.762  0.500  0.914
O  0.985  0.500  0.781
O  0.345  0.000  0.500
O  0.985  0.500  0.219
O  0.015  0.000  0.281
O  0.655  0.500  0.000
O  0.015  0.000  0.719

## Properties
Space group: No. 59
Volume: 169.8 Å³/cell
VASP energy: -53.7 eV per cell

***

3.
## SrTlRe (GGA-PBE)

Data for crystalline SrTlRe at its relaxed geometry.

Cell lengths 5.193, 5.193, 3.031 Å; angles 90.00, 90.00, 120.00 degrees
Element x y z (fractional)
Re  0.000  0.000  0.833
Sr  0.667  0.333  0.334
Tl  0.333  0.667  0.834

## Properties
Space group: No. 187
Volume: 70.8 Å³/cell
Polymorph energy (0 for the lowest one): 0.072 eV/atom
Formation energy: 908.8 meV/atom
VASP energy: -13.8 eV per cell

***

4.
## NdGdAlIn (GGA-PBE)

Data for crystalline NdGdAlIn at its relaxed geometry.

Cell lengths 5.320, 5.320, 5.320 Å; angles 60.00, 60.00, 60.00 degrees
Element x y z (fractional)
Gd  0.750  0.750  0.750
Nd  0.250  0.250  0.250
Al  0.500  0.500  0.500
In  0.000  0.000  0.000

## Properties
Space group: No. 216
Volume: 106.5 Å³/cell
Formation energy: -411.4 meV/atom
VASP energy: -27.0 eV per cell

***

5.
## K2TaSb (GGA-PBE)

Data for crystalline K2TaSb at its relaxed geometry.

Cell lengths 12.588, 12.588, 12.588 Å; angles 14.80, 14.80, 14.80 degrees
Element x y z (fractional)
K  0.997  0.997  0.997
K  0.503  0.503  0.503
Sb  0.250  0.250  0.250
Ta  0.750  0.750  0.750

## Properties
Formation energy without anion corrections: 0.805 eV per atom
Space group: No. 166
Volume: 113.3 Å³/cell
VASP energy: -15.0 eV per cell

***

6.
## SrLi (GGA-PBE)

Data for crystalline SrLi at its relaxed geometry.

Cell lengths 10.924, 16.537, 6.863 Å; angles 90.00, 90.00, 90.00 degrees
Element x y z (fractional)
Sr  0.329  0.000  0.000
Sr  0.671  0.000  0.000
Sr  0.921  0.750  0.250
Sr  0.579  0.750  0.250
Sr  0.329  0.500  0.500
Sr  0.671  0.500  0.500
Sr  0.921  0.250  0.750
Sr  0.579  0.250  0.750
Sr  0.829  0.000  0.500
Sr  0.171  0.000  0.500
Sr  0.421  0.750  0.750
Sr  0.079  0.750  0.750
Sr  0.829  0.500  0.000
Sr  0.171  0.500  0.000
Sr  0.421  0.250  0.250
Sr  0.079  0.250  0.250
Li  0.000  0.920  0.000
Li  0.000  0.080  0.000
Li  0.250  0.830  0.250
Li  0.250  0.670  0.250
Li  0.000  0.420  0.500
Li  0.000  0.580  0.500
Li  0.250  0.330  0.750
Li  0.250  0.170  0.750
Li  0.500  0.920  0.500
Li  0.500  0.080  0.500
Li  0.750  0.830  0.750
Li  0.750  0.670  0.750
Li  0.500  0.420  0.000
Li  0.500  0.580  0.000
Li  0.750  0.330  0.250
Li  0.750  0.170  0.250

## Properties
Space group: No. 70
Volume: 1239.8 Å³/cell
Polymorph energy (0 for the lowest one): 0.116 eV/atom
Formation energy: 143.6 meV/atom
VASP energy: -52.9 eV per cell

***

7.
## BaLi2NiAg (GGA-PBE)

Data for crystalline BaLi2NiAg at its relaxed geometry.

Cell lengths 4.803, 4.803, 5.188 Å; angles 90.00, 90.00, 90.00 degrees
Element x y z (fractional)
Ni  0.000  0.000  0.000
Ba  0.500  0.500  0.500
Ag  0.000  0.000  0.500
Li  0.000  0.500  0.000
Li  0.500  0.000  0.000

## Properties
Space group: No. 123
Volume: 119.7 Å³/cell
Polymorph energy (0 for the lowest one): 0.000 eV/atom
Formation energy: 81.5 meV/atom
VASP energy: -14.0 eV per cell

***

8.
## YSc2Se (GGA-PBE)

Data for crystalline YSc2Se at its relaxed geometry.

Cell lengths 9.907, 9.907, 9.907 Å; angles 20.69, 20.69, 20.69 degrees
Element x y z (fractional)
Y  0.000  0.000  0.000
Sc  0.890  0.890  0.890
Sc  0.110  0.110  0.110
Se  0.500  0.500  0.500

## Properties
Formation energy without anion corrections: -0.495 eV per atom
Space group: No. 166
Volume: 106.3 Å³/cell
VASP energy: -24.6 eV per cell

***

9.
## TiZnSCl2 (GGA-PBE)

Data for crystalline TiZnSCl2 at its relaxed geometry.

Cell lengths 4.859, 4.859, 4.721 Å; angles 90.00, 90.00, 90.00 degrees
Element x y z (fractional)
Zn  0.500  0.500  0.500
Cl  0.000  0.500  0.000
Cl  0.500  0.000  0.000
S  0.000  0.000  0.500
Ti  0.000  0.000  0.000

## Properties
Formation energy without anion corrections: -0.733 eV per atom
Space group: No. 123
Volume: 111.5 Å³/cell
Polymorph energy (0 for the lowest one): 0.000 eV/atom
VASP energy: -20.7 eV per cell

***

10.
## CrCdAs2 (GGA-PBE)

Data for crystalline CrCdAs2 at its relaxed geometry.

Cell lengths 5.852, 5.852, 7.165 Å; angles 65.90, 65.90, 90.00 degrees
Element x y z (fractional)
Cr  0.500  0.500  0.000
Cr  0.250  0.750  0.500
As  0.575  0.125  0.250
As  0.175  0.625  0.250
As  0.375  0.425  0.750
As  0.875  0.825  0.750
Cd  0.000  0.000  0.000
Cd  0.750  0.250  0.500

## Properties
Space group: No. 122
Volume: 200.3 Å³/cell
Formation energy: 128.2 meV/atom
VASP energy: -38.6 eV per cell

***

11.
## Rb2Ru2N (GGA-PBE)

Data for crystalline Rb2Ru2N at its relaxed geometry.

Cell lengths 5.752, 5.752, 5.961 Å; angles 90.00, 90.00, 90.00 degrees
Element x y z (fractional)
Ru  0.303  0.803  0.000
Ru  0.803  0.697  0.000
Ru  0.697  0.197  0.000
Ru  0.197  0.303  0.000
Rb  0.182  0.682  0.500
Rb  0.682  0.818  0.500
Rb  0.818  0.318  0.500
Rb  0.318  0.182  0.500
N  0.000  0.000  0.000
N  0.500  0.500  0.000

## Properties
Formation energy without anion corrections: 0.926 eV per atom
Space group: No. 127
Volume: 197.2 Å³/cell
Polymorph energy (0 for the lowest one): 0.000 eV/atom
VASP energy: -48.4 eV per cell

***

12.
## Ba4PRh (GGA-PBE)

Data for crystalline Ba4PRh at its relaxed geometry.

Cell lengths 4.613, 8.065, 15.735 Å; angles 99.58, 90.00, 90.00 degrees
Element x y z (fractional)
Ba  0.500  0.643  0.395
Ba  0.000  0.357  0.105
Ba  0.500  0.357  0.605
Ba  0.000  0.643  0.895
Ba  0.000  0.132  0.393
Ba  0.500  0.868  0.107
Ba  0.000  0.868  0.607
Ba  0.500  0.132  0.893
P  0.000  0.500  0.500
P  0.500  0.500  0.000
Rh  0.500  0.000  0.500
Rh  0.000  0.000  0.000

## Properties
Space group: No. 12
Volume: 577.2 Å³/cell
Polymorph energy (0 for the lowest one): 0.000 eV/atom
Formation energy: -488.8 meV/atom
VASP energy: -46.8 eV per cell

***

13.
## TaTcPb (GGA-PBE)

Data for crystalline TaTcPb at its relaxed geometry.

Cell lengths 4.503, 4.503, 4.503 Å; angles 60.00, 60.00, 60.00 degrees
Element x y z (fractional)
Pb  0.000  0.000  0.000
Ta  0.500  0.500  0.500
Tc  0.750  0.750  0.750

## Properties
Space group: No. 216
Volume: 64.5 Å³/cell
Polymorph energy (0 for the lowest one): 0.254 eV/atom
Formation energy: 563.5 meV/atom
VASP energy: -24.2 eV per cell

***

14.
## PmNpZnGe (GGA-PBE)

Data for crystalline PmNpZnGe at its relaxed geometry.

Cell lengths 5.082, 5.082, 5.082 Å; angles 60.00, 60.00, 60.00 degrees
Element x y z (fractional)
Np  0.500  0.500  0.500
Ge  0.250  0.250  0.250
Zn  0.750  0.750  0.750
Pm  0.000  0.000  0.000

## Properties
Space group: No. 216
Volume: 92.8 Å³/cell
Formation energy: -158.2 meV/atom
VASP energy: -24.2 eV per cell

***

15.
## Ta2AgIr (GGA-PBE)

Data for crystalline Ta2AgIr at its relaxed geometry.

Cell lengths 5.029, 5.029, 4.951 Å; angles 77.95, 77.95, 33.93 degrees
Element x y z (fractional)
Ir  0.250  0.250  0.250
Ag  0.750  0.750  0.750
Ta  0.992  0.992  0.009
Ta  0.508  0.508  0.491

## Properties
Space group: No. 12
Volume: 68.2 Å³/cell
Formation energy: 116.2 meV/atom
VASP energy: -35.0 eV per cell

***

16.
## LaNbHRh2 (GGA-PBE)

Data for crystalline LaNbHRh2 at its relaxed geometry.

Cell lengths 4.654, 5.924, 4.654 Å; angles 90.00, 90.00, 90.00 degrees
Element x y z (fractional)
H  0.500  0.500  0.500
Nb  0.000  0.000  0.000
Rh  0.000  0.000  0.500
Rh  0.500  0.000  0.000
La  0.000  0.500  0.000

## Properties
Space group: No. 123
Volume: 128.3 Å³/cell
VASP energy: -28.3 eV per cell

***

17.
## BaTlSb2 (GGA-PBE)

Data for crystalline BaTlSb2 at its relaxed geometry.

Cell lengths 4.347, 6.232, 11.135 Å; angles 84.38, 90.00, 90.00 degrees
Element x y z (fractional)
Ba  0.750  0.400  0.799
Ba  0.250  0.600  0.201
Tl  0.750  0.145  0.365
Tl  0.250  0.855  0.635
Sb  0.750  0.069  0.084
Sb  0.250  0.931  0.916
Sb  0.750  0.661  0.460
Sb  0.250  0.339  0.540

## Properties
Formation energy without anion corrections: -0.393 eV per atom
Space group: No. 11
Volume: 300.2 Å³/cell
Polymorph energy (0 for the lowest one): 0.095 eV/atom
VASP energy: -28.2 eV per cell

***

18.
## Mg3NpRh3 (GGA-PBE)

Data for crystalline Mg3NpRh3 at its relaxed geometry.

Cell lengths 5.495, 5.555, 5.495 Å; angles 109.69, 109.25, 109.69 degrees
Element x y z (fractional)
Mg  0.500  0.004  0.000
Mg  0.500  0.504  0.500
Mg  0.000  0.004  0.500
Np  0.000  0.503  0.000
Rh  0.500  0.504  0.000
Rh  0.500  0.004  0.500
Rh  0.000  0.504  0.500

## Properties
Space group: No. 166
Volume: 128.8 Å³/cell
Formation energy: -390.0 meV/atom
VASP energy: -42.5 eV per cell

***

19.
## Pa2Co5B3 (GGA-PBE)

Data for crystalline Pa2Co5B3 at its relaxed geometry.

Cell lengths 5.246, 7.356, 7.356 Å; angles 71.14, 69.11, 69.11 degrees
Element x y z (fractional)
Pa  0.130  0.625  0.116
Pa  0.630  0.116  0.625
Pa  0.870  0.375  0.884
Pa  0.370  0.884  0.375
Co  0.396  0.231  0.977
Co  0.896  0.977  0.231
Co  0.604  0.769  0.023
Co  0.104  0.023  0.769
Co  0.521  0.729  0.729
Co  0.479  0.271  0.271
Co  0.750  0.500  0.500
Co  0.250  0.500  0.500
Co  0.979  0.271  0.271
Co  0.021  0.729  0.729
B  0.384  0.491  0.740
B  0.884  0.740  0.491
B  0.616  0.509  0.260
B  0.116  0.260  0.509
B  0.250  0.000  0.000
B  0.750  0.000  0.000

## Properties
Space group: No. 72
Volume: 241.5 Å³/cell
Formation energy: -410.0 meV/atom
VASP energy: -157.3 eV per cell

***

20.
## Cs4MnS5 (GGA-PBE)

Data for crystalline Cs4MnS5 at its relaxed geometry.

Cell lengths 6.900, 8.136, 8.136 Å; angles 79.64, 64.91, 64.91 degrees
Element x y z (fractional)
Cs  0.410  0.391  0.802
Cs  0.800  0.802  0.609
Cs  0.212  0.198  0.391
Cs  0.602  0.609  0.198
Mn  0.085  0.000  0.000
S  0.938  0.265  0.863
S  0.203  0.863  0.735
S  0.801  0.137  0.265
S  0.066  0.735  0.137
S  0.393  0.000  0.000

## Properties
Formation energy without anion corrections: -0.736 eV per atom
Space group: No. 79
Volume: 374.6 Å³/cell
VASP energy: -40.6 eV per cell